[1]
This record from Alexandria via LeMat-Bulk describes Te4PtRh after structural relaxation. The functional is PBEsol.

Volume, Å³/cell: 146.9
Fermi-level density of states, states/eV/atom: 1.47
Energy relative to the elements, uncorrected, kcal/mol of atoms: 27.69
DFT total energy, eV/atom: -3.6672

```
Te4PtRh
1.0
0.0000 4.1880 4.1880
4.1880 0.0000 4.1880
4.1880 4.1880 0.0000
Te Pt Rh
4 1 1
Direct
0.1254 0.1254 0.1254
0.1254 0.1254 0.6237
0.1254 0.6237 0.1254
0.6237 0.1254 0.1254
0.5000 0.5000 0.5000
0.7500 0.7500 0.7500
```

***

[2]
This record from Alexandria via LeMat-Bulk describes Te2Pt2Rh after structural relaxation. The functional is PBEsol.

Volume, Å³/cell: 188.2
Fermi-level density of states, states/eV/atom: 0.37
Energy relative to the elements, uncorrected, kcal/mol of atoms: -5.30
DFT total energy, eV/atom: -6.0533

```
Te2Pt2Rh
1.0
-3.1494 5.4472 2.7423
3.1494 -5.4472 2.7423
3.1494 5.4472 -2.7423
Te Pt Rh
4 4 2
Direct
0.1498 0.2311 0.3809
0.3502 0.7311 0.0814
0.6498 0.2689 0.9186
0.8502 0.7689 0.6191
0.1101 0.6338 0.7438
0.3899 0.1338 0.5237
0.6101 0.8662 0.4763
0.8899 0.3662 0.2562
0.2500 0.2500 0.0000
0.7500 0.7500 0.0000
```

***

[3]
This record from Alexandria via LeMat-Bulk describes TePtRh2 after structural relaxation. The functional is PBEsol.

Distance to the lowest polymorph of the same formula, eV/atom: 0.000
Volume, Å³/cell: 63.9
Fermi-level density of states, states/eV/atom: 0.80
Energy relative to the elements, uncorrected, kcal/mol of atoms: 0.78
DFT total energy, eV/atom: -6.6578

```
TePtRh2
1.0
4.2156 -1.7501 0.0000
4.2156 1.7501 0.0000
-1.4426 0.0000 4.3309
Te Pt Rh
1 1 2
Direct
0.0000 0.0000 0.0000
0.5000 0.5000 0.5000
0.2545 0.2545 0.7469
0.7455 0.7455 0.2531
```

***

[4]
This record from Alexandria via LeMat-Bulk describes TePtRh2 after structural relaxation. The functional is PBEsol.

Distance to the lowest polymorph of the same formula, eV/atom: 0.079
Volume, Å³/cell: 64.5
Fermi-level density of states, states/eV/atom: 1.27
Energy relative to the elements, uncorrected, kcal/mol of atoms: 2.59
DFT total energy, eV/atom: -6.5792

```
TePtRh2
1.0
3.4154 0.0000 0.0000
0.0000 3.4154 0.0000
0.0000 0.0000 5.5299
Te Pt Rh
1 1 2
Direct
0.0000 0.0000 0.0000
0.5000 0.5000 0.2964
0.0000 0.0000 0.5137
0.5000 0.5000 0.7668
```

***

[5]
This record from Alexandria via LeMat-Bulk describes TePtRh2 after structural relaxation. The functional is PBEsol.

Distance to the lowest polymorph of the same formula, eV/atom: 0.094
Volume, Å³/cell: 63.3
Fermi-level density of states, states/eV/atom: 1.14
Energy relative to the elements, uncorrected, kcal/mol of atoms: 2.95
DFT total energy, eV/atom: -6.5638

```
TePtRh2
1.0
0.0000 3.1635 3.1635
3.1635 0.0000 3.1635
3.1635 3.1635 0.0000
Te Pt Rh
1 1 2
Direct
0.0000 0.0000 0.0000
0.2500 0.2500 0.2500
0.5000 0.5000 0.5000
0.7500 0.7500 0.7500
```

***

[6]
This record from Alexandria via LeMat-Bulk describes TlPt2Rh2 after structural relaxation. The functional is PBEsol.

Distance to the lowest polymorph of the same formula, eV/atom: 0.044
Volume, Å³/cell: 85.5
ΔE_f, eV per atom: 0.34
Fermi-level density of states, states/eV/atom: 1.63
DFT total energy, eV/atom: -6.2223

```
TlPt2Rh2
1.0
-1.8083 1.8083 6.5371
1.8083 -1.8083 6.5371
1.8083 1.8083 -6.5371
Tl Pt Rh
1 2 2
Direct
0.0000 0.0000 0.0000
0.3982 0.3982 0.0000
0.6018 0.6018 0.0000
0.2500 0.7500 0.5000
0.7500 0.2500 0.5000
```